This record from Alexandria via LeMat-Bulk describes a relaxed structure of CsNiRuF6. The functional is PBE with a Hubbard U.

It has space group Imma (No. 74), with a = 7.426 Å, b = 7.490 Å, c = 10.597 Å, α = 90.00°, β = 90.00° and γ = 90.00°. The asymmetric unit holds Cs at (0.000, 0.250, 0.113), Ni at (0.250, 0.250, 0.750), Ru at (0.000, 0.000, 0.500), F at (0.000, 0.250, 0.425), F at (0.000, 0.250, 0.817) and F at (0.199, 0.050, 0.624).

For the electronic total energy, the calculation gives -4.757 eV per atom. The calculation puts the total magnetization at 12.01 μB per cell.